No. 1
Eu2DyAl: relaxed, PBE.

## Properties
space group: Fm-3m, No. 225
ΔE to the lowest computed polymorph: 0.091 eV per atom
energy of formation: 0.034 eV/atom

Cell lengths 5.540, 5.540, 5.540 Å; angles 60.00, 60.00, 60.00 degrees
Sites, in units of the cell vectors:
Eu 0.250 0.250 0.250
Eu 0.750 0.750 0.750
Dy 0.000 0.000 0.000
Al 0.500 0.500 0.500

=====

No. 2
Eu2DyAl: relaxed, PBE.

## Properties
space group: P4/mmm, No. 123
ΔE to the lowest computed polymorph: 0.030 eV per atom
energy of formation: -0.027 eV/atom

Cell lengths 3.745, 3.745, 8.940 Å; angles 90.00, 90.00, 90.00 degrees
Sites, in units of the cell vectors:
Eu 0.000 0.000 0.210
Eu 0.000 0.000 0.790
Dy 0.500 0.500 0.500
Al 0.500 0.500 0.000

=====

No. 3
Eu2DyAl: relaxed, PBE.

## Properties
space group: P4/mmm, No. 123
ΔE to the lowest computed polymorph: 0.000 eV per atom
energy of formation: -0.058 eV/atom

Cell lengths 4.821, 4.821, 5.120 Å; angles 90.00, 90.00, 90.00 degrees
Sites, in units of the cell vectors:
Eu 0.000 0.500 0.000
Eu 0.500 0.000 0.000
Dy 0.000 0.000 0.500
Al 0.500 0.500 0.500

=====

No. 4
EuDyAl4: relaxed, PBE.

## Properties
space group: F-43m, No. 216
energy of formation: -0.442 eV/atom

Cell lengths 5.624, 5.624, 5.624 Å; angles 60.00, 60.00, 60.00 degrees
Sites, in units of the cell vectors:
Eu 0.000 0.000 0.000
Dy 0.250 0.250 0.250
Al 0.125 0.625 0.625
Al 0.625 0.125 0.625
Al 0.625 0.625 0.125
Al 0.625 0.625 0.625

=====

- Which value of energy of formation does entry 1 give?
  0.034 eV/atom

=====

- What is the formula in the third record?
  Eu2DyAl